No. 1
# AcSm8Ho6, relaxed, DFT GGA-PBE
# Total magnetization: 0.0 μB/f.u.
# Total DFT energy (no corrections): -66.24 eV per cell
# ρ: 7.7 Mg/m³
data_AcSm8Ho6
_cell_length_a 9.5651
_cell_length_b 9.5651
_cell_length_c 6.5613
_cell_angle_alpha 90.00
_cell_angle_beta 90.00
_cell_angle_gamma 120.00
_symmetry_space_group_name_H-M 'P -3'
_symmetry_Int_Tables_number 147
loop_
_symmetry_equiv_pos_as_xyz
'x,y,z'
'-x,-y,-z'
'-y,x-y,z'
'y,-x+y,-z'
'-x+y,-x,z'
'x-y,x,-z'
loop_
_atom_site_label
_atom_site_fract_x
_atom_site_fract_y
_atom_site_fract_z
Ac1 0.0000 0.0000 0.0000
Sm1 0.0219 0.3347 0.5997
Sm2 0.3333 0.6667 0.3314
Ho1 0.0957 0.6777 0.9030

No. 2
# AcSm6Ho12, relaxed, DFT GGA-PBE
# Total magnetization: 0.0 μB/f.u.
# Total DFT energy (no corrections): -250.20 eV per cell
# ρ: 8.0 Mg/m³
data_AcSm6Ho12
_cell_length_a 13.3030
_cell_length_b 13.3030
_cell_length_c 12.5668
_cell_angle_alpha 90.00
_cell_angle_beta 90.00
_cell_angle_gamma 120.00
_symmetry_space_group_name_H-M 'R -3 m'
_symmetry_Int_Tables_number 166
_symmetry_space_group_name_Hall '-R 3 2"'
loop_
_atom_site_label
_atom_site_fract_x
_atom_site_fract_y
_atom_site_fract_z
Ac1 0.0000 0.0000 0.0000
Sm1 0.0322 0.5161 0.6193
Ho1 0.0000 0.2584 0.5000
Ho2 0.0918 0.1837 0.2644

No. 3
# Ac2Sm2Ho5, relaxed, DFT GGA-PBE
# Total magnetization: 0.0 μB/f.u.
# Total DFT energy (no corrections): -77.22 eV per cell
# ρ: 8.0 Mg/m³
data_Ac2Sm2Ho5
_cell_length_a 22.029
_cell_length_b 3.614
_cell_length_c 8.335
_cell_angle_alpha 90.00
_cell_angle_beta 98.81
_cell_angle_gamma 90.00
_symmetry_space_group_name_H-M 'C 1 2/m 1'
_symmetry_Int_Tables_number 12
loop_
_symmetry_equiv_pos_as_xyz
'x,y,z'
'-x,-y,-z'
'-x,y,-z'
'x,-y,z'
'x+1/2,y+1/2,z'
'-x+1/2,-y+1/2,-z'
'-x+1/2,y+1/2,-z'
'x+1/2,-y+1/2,z'
loop_
_atom_site_label
_atom_site_fract_x
_atom_site_fract_y
_atom_site_fract_z
Ac1 0.181 0.000 0.135
Sm1 0.047 0.500 0.351
Ho1 0.000 0.000 0.000
Ho2 0.093 0.000 0.720
Ho3 0.190 0.500 0.531

No. 4
# AcSm6Ho3, relaxed, DFT GGA-PBE
# Total magnetization: 0.0 μB/f.u.
# Total DFT energy (no corrections): -90.88 eV per cell
# ρ: 7.9 Mg/m³
data_AcSm6Ho3
_cell_length_a 12.733
_cell_length_b 3.681
_cell_length_c 14.698
_cell_angle_alpha 90.00
_cell_angle_beta 96.31
_cell_angle_gamma 90.00
_symmetry_space_group_name_H-M 'P 1 21/m 1'
_symmetry_Int_Tables_number 11
loop_
_symmetry_equiv_pos_as_xyz
'x,y,z'
'-x,-y,-z'
'-x,y+1/2,-z'
'x,-y+1/2,z'
loop_
_atom_site_label
_atom_site_fract_x
_atom_site_fract_y
_atom_site_fract_z
Ac1 0.156 0.250 0.369
Sm1 0.100 0.250 0.035
Sm2 0.112 0.750 0.586
Sm3 0.259 0.750 0.182
Sm4 0.274 0.750 0.926
Sm5 0.334 0.250 0.728
Sm6 0.372 0.750 0.508
Ho1 0.048 0.250 0.794
Ho2 0.439 0.250 0.319
Ho3 0.461 0.250 0.093

No. 5
# AcSmHo4, relaxed, DFT GGA-PBE
# Total magnetization: 0.0 μB/f.u.
# Total DFT energy (no corrections): -107.07 eV per cell
# ρ: 8.5 Mg/m³
data_AcSmHo4
_cell_length_a 10.722
_cell_length_b 13.355
_cell_length_c 6.709
_cell_angle_alpha 90.00
_cell_angle_beta 122.70
_cell_angle_gamma 90.00
_symmetry_space_group_name_H-M 'C 1 2/c 1'
_symmetry_Int_Tables_number 15
loop_
_symmetry_equiv_pos_as_xyz
'x,y,z'
'-x,-y,-z'
'-x,y,-z+1/2'
'x,-y,z+1/2'
'x+1/2,y+1/2,z'
'-x+1/2,-y+1/2,-z'
'-x+1/2,y+1/2,-z+1/2'
'x+1/2,-y+1/2,z+1/2'
loop_
_atom_site_label
_atom_site_fract_x
_atom_site_fract_y
_atom_site_fract_z
Ac1 0.000 0.073 0.250
Sm1 0.000 0.191 0.750
Ho1 0.159 0.423 0.743
Ho2 0.164 0.316 0.246

No. 6
# Ac2SmHo, relaxed, DFT GGA-PBE
# Total magnetization: 0.0 μB/f.u.
# Total DFT energy (no corrections): -17.32 eV per cell
# ρ: 8.4 Mg/m³
data_Ac2SmHo
_cell_length_a 3.877
_cell_length_b 3.877
_cell_length_c 10.143
_cell_angle_alpha 90.00
_cell_angle_beta 90.00
_cell_angle_gamma 90.00
_symmetry_space_group_name_H-M 'P 4/m m m'
_symmetry_Int_Tables_number 123
_symmetry_space_group_name_Hall '-P 4 2'
loop_
_atom_site_label
_atom_site_fract_x
_atom_site_fract_y
_atom_site_fract_z
Ac1 0.000 0.000 0.246
Sm1 0.500 0.500 0.500
Ho1 0.500 0.500 0.000

No. 7
# AcSm8Ho4, relaxed, DFT GGA-PBE
# Total magnetization: 0.0 μB/f.u.
# Total DFT energy (no corrections): -170.95 eV per cell
# ρ: 7.7 Mg/m³
data_AcSm8Ho4
_cell_length_a 7.3760
_cell_length_b 7.3760
_cell_length_c 28.5920
_cell_angle_alpha 90.00
_cell_angle_beta 90.00
_cell_angle_gamma 120.00
_symmetry_space_group_name_H-M 'R -3 m'
_symmetry_Int_Tables_number 166
_symmetry_space_group_name_Hall '-R 3 2"'
loop_
_atom_site_label
_atom_site_fract_x
_atom_site_fract_y
_atom_site_fract_z
Ac1 0.0000 0.0000 0.0000
Sm1 0.0000 0.0000 0.2856
Sm2 0.0386 0.5193 0.2626
Ho1 0.0000 0.0000 0.5000
Ho2 0.0000 0.5000 0.5000

No. 8
# AcSm4Ho4, relaxed, DFT GGA-PBE
# Total magnetization: 0.0 μB/f.u.
# Total DFT energy (no corrections): -81.96 eV per cell
# ρ: 8.1 Mg/m³
data_AcSm4Ho4
_cell_length_a 6.882
_cell_length_b 9.365
_cell_length_c 11.028
_cell_angle_alpha 66.87
_cell_angle_beta 74.24
_cell_angle_gamma 71.73
_symmetry_space_group_name_H-M 'P -1'
_symmetry_Int_Tables_number 2
loop_
_symmetry_equiv_pos_as_xyz
'x,y,z'
'-x,-y,-z'
loop_
_atom_site_label
_atom_site_fract_x
_atom_site_fract_y
_atom_site_fract_z
Ac1 0.221 0.029 0.205
Sm1 0.113 0.637 0.019
Sm2 0.221 0.033 0.867
Sm3 0.439 0.309 0.572
Sm4 0.446 0.310 0.242
Ho1 0.110 0.634 0.357
Ho2 0.114 0.637 0.682
Ho3 0.226 0.030 0.536
Ho4 0.446 0.313 0.904

No. 9
# Ac8Sm3Ho2, relaxed, DFT GGA-PBE
# Total magnetization: 0.0 μB/f.u.
# Total DFT energy (no corrections): -54.20 eV per cell
# ρ: 8.1 Mg/m³
data_Ac8Sm3Ho2
_cell_length_a 7.241
_cell_length_b 7.392
_cell_length_c 10.537
_cell_angle_alpha 102.98
_cell_angle_beta 101.18
_cell_angle_gamma 96.77
_symmetry_space_group_name_H-M 'P -1'
_symmetry_Int_Tables_number 2
loop_
_symmetry_equiv_pos_as_xyz
'x,y,z'
'-x,-y,-z'
loop_
_atom_site_label
_atom_site_fract_x
_atom_site_fract_y
_atom_site_fract_z
Ac1 0.030 0.297 0.065
Ac2 0.144 0.093 0.714
Ac3 0.238 0.590 0.667
Ac4 0.347 0.743 0.348
Sm1 0.387 0.008 0.109
Sm2 0.500 0.500 0.000
Ho1 0.266 0.256 0.387

No. 10
# AcSm8Ho6, relaxed, DFT GGA-PBE
# Total magnetization: 0.0 μB/f.u.
# Total DFT energy (no corrections): -200.48 eV per cell
# ρ: 7.9 Mg/m³
data_AcSm8Ho6
_cell_length_a 9.2951
_cell_length_b 9.2951
_cell_length_c 20.4158
_cell_angle_alpha 90.00
_cell_angle_beta 90.00
_cell_angle_gamma 120.00
_symmetry_space_group_name_H-M 'R -3'
_symmetry_Int_Tables_number 148
_symmetry_space_group_name_Hall '-R 3'
loop_
_atom_site_label
_atom_site_fract_x
_atom_site_fract_y
_atom_site_fract_z
Ac1 0.0000 0.0000 0.0000
Sm1 0.0000 0.0000 0.4278
Sm2 0.0653 0.2453 0.1604
Ho1 0.0390 0.2383 0.6939

No. 11
# Ac2Sm7Ho, relaxed, DFT GGA-PBE
# Total magnetization: 0.0 μB/f.u.
# Total DFT energy (no corrections): -87.77 eV per cell
# ρ: 7.7 Mg/m³
data_Ac2Sm7Ho
_cell_length_a 6.716
_cell_length_b 30.210
_cell_length_c 3.568
_cell_angle_alpha 90.00
_cell_angle_beta 90.00
_cell_angle_gamma 90.00
_symmetry_space_group_name_H-M 'C m m m'
_symmetry_Int_Tables_number 65
_symmetry_space_group_name_Hall '-C 2 2'
loop_
_atom_site_label
_atom_site_fract_x
_atom_site_fract_y
_atom_site_fract_z
Ac1 0.000 0.206 0.000
Sm1 0.000 0.316 0.500
Sm2 0.000 0.500 0.000
Sm3 0.243 0.096 0.000
Ho1 0.000 0.000 0.500

No. 12
# AcSmHo3, relaxed, DFT GGA-PBE
# Total magnetization: 0.0 μB/f.u.
# Total DFT energy (no corrections): -43.59 eV per cell
# ρ: 8.1 Mg/m³
data_AcSmHo3
_cell_length_a 4.928
_cell_length_b 8.614
_cell_length_c 9.437
_cell_angle_alpha 69.00
_cell_angle_beta 74.89
_cell_angle_gamma 90.00
_symmetry_space_group_name_H-M 'P -1'
_symmetry_Int_Tables_number 2
loop_
_symmetry_equiv_pos_as_xyz
'x,y,z'
'-x,-y,-z'
loop_
_atom_site_label
_atom_site_fract_x
_atom_site_fract_y
_atom_site_fract_z
Ac1 0.115 0.152 0.271
Sm1 0.313 0.111 0.875
Ho1 0.055 0.696 0.389
Ho2 0.227 0.626 0.046
Ho3 0.414 0.551 0.671

no.,formation energy (eV per atom)
1,0.21
2,0.21
3,0.21
4,0.07
5,0.06
6,0.05
7,0.25
8,0.04
9,0.15
10,0.17
11,0.19
12,0.15